# K4TbCl7 (GGA-PBE, optimized geometry)
# Energy relative to the elements, uncorrected   -2.01 eV/atom
# Spin magnetization   0.3 μB/f.u.
# Energy   -92.2 eV per cell
data_K4TbCl7
_chemical_formula_sum 'K8 Tb2 Cl14'
_cell_length_a 21.252
_cell_length_b 5.224
_cell_length_c 8.600
_cell_angle_alpha 90.00
_cell_angle_beta 106.78
_cell_angle_gamma 90.00
_symmetry_space_group_name_H-M 'C 1 2/m 1'
_symmetry_Int_Tables_number 12
_symmetry_space_group_name_Hall '-C 2y'
loop_
_atom_site_label
_atom_site_fract_x
_atom_site_fract_y
_atom_site_fract_z
_atom_site_occupancy
K1 0.081 0.000 0.219 1
K2 0.211 0.000 0.783 1
Tb1 0.000 0.500 0.500 1
Cl1 0.000 0.000 0.500 1
Cl2 0.028 0.500 0.819 1
Cl3 0.125 0.500 0.504 1
Cl4 0.207 0.000 0.138 1